# 1
# SCAN BeAuCl2, PBEsol geometry
# space group = I-4m2
# formation energy without anion corrections = 0.293 eV per atom
# crystal system = tetragonal
data_BeAuCl2
_space_group_name_H-M_alt 'P 1'
_space_group_IT_number 1
_cell_length_a 3.574
_cell_length_b 3.574
_cell_length_c 6.482
_cell_angle_alpha 106.00
_cell_angle_beta 106.00
_cell_angle_gamma 90.00
loop_
_space_group_symop_operation_xyz
'x,y,z'
loop_
_atom_site_label
_atom_site_type_symbol
_atom_site_fract_x
_atom_site_fract_y
_atom_site_fract_z
_atom_site_occupancy
Au1 Au 0.500 0.500 0.000 1
Cl1 Cl 0.000 0.000 0.000 1
Cl2 Cl 0.750 0.250 0.500 1
Be1 Be 0.250 0.750 0.500 1

# 2
# SCAN CdPb2, PBEsol geometry
# space group = Immm
# crystal system = orthorhombic
data_CdPb2
_space_group_name_H-M_alt 'P 1'
_space_group_IT_number 1
_cell_length_a 3.377
_cell_length_b 4.705
_cell_length_c 5.900
_cell_angle_alpha 113.50
_cell_angle_beta 106.63
_cell_angle_gamma 90.00
loop_
_space_group_symop_operation_xyz
'x,y,z'
loop_
_atom_site_label
_atom_site_type_symbol
_atom_site_fract_x
_atom_site_fract_y
_atom_site_fract_z
_atom_site_occupancy
Pb1 Pb 0.337 0.337 0.674 1
Pb2 Pb 0.663 0.663 0.326 1
Cd1 Cd 0.000 0.000 0.000 1

# 3
# SCAN KCaHg2, PBEsol geometry
# space group = P4mm
# crystal system = tetragonal
data_KCaHg2
_space_group_name_H-M_alt 'P 1'
_space_group_IT_number 1
_cell_length_a 3.931
_cell_length_b 3.931
_cell_length_c 8.294
_cell_angle_alpha 90.00
_cell_angle_beta 90.00
_cell_angle_gamma 90.00
loop_
_space_group_symop_operation_xyz
'x,y,z'
loop_
_atom_site_label
_atom_site_type_symbol
_atom_site_fract_x
_atom_site_fract_y
_atom_site_fract_z
_atom_site_occupancy
K1 K 0.000 0.000 0.445 1
Hg1 Hg 0.000 0.000 0.010 1
Hg2 Hg 0.500 0.500 0.208 1
Ca1 Ca 0.500 0.500 0.838 1

Energy relative to the lowest polymorph listed for this composition per entry: 3.926, 0.101, 0.502 eV per formula unit
DFT total energy per entry: -22.07, -60.60, -38.91 eV/atom
Total moment per entry: 0.0, 0.0, 0.0 μB/f.u.